Record 1
VASP calculation (GGA-PBE) on MgBrN2 after structural relaxation.

Its density of states at the Fermi level is 8.8 states/eV/cell. The calculation puts the total energy at -4.108 eV/atom. The value obtained for the energy relative to the lowest polymorph listed for this composition is 0.0 meV per atom. The calculation puts the uncorrected formation energy at 871 meV/atom. The total magnetization comes out at 0.00 μB/cell.

Cell lengths 3.3650, 3.3650, 17.6366 Å; angles 90.00, 90.00, 120.00 degrees
With the nearest neighbours (Å) after each atom.
Space group R-3m (No. 166, hexagonal axes)
Asymmetric unit:
1 Mg 0.0000 0.0000 0.0000 x3  6 N 2.20
2 Br 0.0000 0.0000 0.5000 x3  2 N 1.90
3 N 0.0000 0.0000 0.3921 x6  1 Br 1.90

---

Record 2
VASP calculation (GGA-PBE) on LiPaAs2 after structural relaxation.

The calculation puts the total energy at -5.929 eV/atom. The value obtained for the energy relative to the lowest polymorph listed for this composition is 52.9 meV per atom. The total magnetization comes out at 0.00 μB/cell.

Cell lengths 6.8331, 6.8331, 6.8331 Å; angles 90.00, 90.00, 90.00 degrees
With the nearest neighbours (Å) after each atom.
Space group Fm-3m (No. 225)
Asymmetric unit:
1 Li 0.0000 0.0000 0.0000 x4  8 As 2.96
2 Pa 0.0000 0.0000 0.5000 x4  8 As 2.96
3 As 0.2500 0.2500 0.2500 x8  4 Li 2.96, 4 Pa 2.96